TeMoN2Cl: optimized geometry, PBE.

## Properties
- Uncorrected formation energy: 2.30 eV/f.u.
- Total energy: -6.033 eV per atom
- V: 89.22 Å³ per cell
- Energy above the lowest structure with this stoichiometry: 0.000 eV per atom

a = 3.9561 Å, b = 3.9561 Å, c = 5.7010 Å
α = 90.00°, β = 90.00°, γ = 90.00°
Last column: nearest neighbours and their distance in Å.
Space group P4/mmm (No. 123)
Unique sites:
Te 0.0000 0.0000 0.0000 (multiplicity 1)  4 Cl 2.80, 2 Mo 2.85
Mo 0.0000 0.0000 0.5000 (multiplicity 1)  4 N 1.98
N 0.0000 0.5000 0.5000 (multiplicity 2)  2 Mo 1.98
Cl 0.5000 0.5000 0.0000 (multiplicity 1)  4 Te 2.80

---

TeMoN2Cl: optimized geometry, PBE.

## Properties
- Uncorrected formation energy: 11.87 eV/f.u.
- Total energy: -4.120 eV per atom
- V: 84.14 Å³ per cell
- Energy above the lowest structure with this stoichiometry: 1.913 eV per atom

a = 4.0782 Å, b = 4.0782 Å, c = 5.0588 Å
α = 90.00°, β = 90.00°, γ = 90.00°
Last column: nearest neighbours and their distance in Å.
Space group P4/mmm (No. 123)
Unique sites:
Te 0.0000 0.0000 0.0000 (multiplicity 1)  2 Cl 2.53
Mo 0.5000 0.5000 0.0000 (multiplicity 1)  4 Te 2.88
N 0.0000 0.5000 0.5000 (multiplicity 2)  2 Cl 2.04
Cl 0.0000 0.0000 0.5000 (multiplicity 1)  4 N 2.04

---

V2MoNCl: optimized geometry, PBE.

## Properties
- Uncorrected formation energy: 8.08 eV/f.u.
- Total energy: -6.232 eV per atom
- V: 71.27 Å³ per cell

a = 4.3704 Å, b = 4.3704 Å, c = 3.7313 Å
α = 90.00°, β = 90.00°, γ = 90.00°
Last column: nearest neighbours and their distance in Å.
Space group P4/mmm (No. 123)
Unique sites:
V 0.0000 0.5000 0.0000 (multiplicity 2)  2 Cl 2.19
Mo 0.0000 0.0000 0.5000 (multiplicity 1)  8 V 2.87, 4 N 3.09
N 0.5000 0.5000 0.5000 (multiplicity 1)  2 Cl 1.87
Cl 0.5000 0.5000 0.0000 (multiplicity 1)  2 N 1.87

---

Na3MoCl8: optimized geometry, PBE.

## Properties
- Uncorrected formation energy: -14.76 eV/f.u.
- Total energy: -3.693 eV per atom
- V: 758.69 Å³ per cell

a = 8.0500 Å, b = 11.5715 Å, c = 8.1447 Å
α = 90.00°, β = 90.00°, γ = 90.00°
Last column: nearest neighbours and their distance in Å.
Space group C222 (No. 21)
Unique sites:
Na 0.0000 0.0000 0.0000 (multiplicity 2)  6 Cl 2.63-2.94
Na 0.2500 0.2500 0.7933 (multiplicity 4)  2 Cl 2.64
Mo 0.0000 0.0000 0.5000 (multiplicity 2)  6 Cl 2.35-2.36
Cl 0.0000 0.2029 0.5000 (multiplicity 4)  1 Mo 2.35
Cl 0.0000 0.2274 0.0000 (multiplicity 4)  3 Na 2.63-2.64
Cl 0.2091 0.0038 0.7036 (multiplicity 8)  1 Mo 2.36

---

NaMoCl5: optimized geometry, PBE.

## Properties
- Uncorrected formation energy: -7.40 eV/f.u.
- Total energy: -4.112 eV per atom
- V: 771.16 Å³ per cell

a = 11.2179 Å, b = 7.9540 Å, c = 9.3930 Å
α = 90.00°, β = 113.06°, γ = 90.00°
Last column: nearest neighbours and their distance in Å.
Space group C2/c (No. 15)
Unique sites:
Na 0.0000 0.0364 0.2500 (multiplicity 4)  5 Cl 2.81-2.92
Mo 0.0000 0.5000 0.0000 (multiplicity 4)  6 Cl 2.34-2.48
Cl 0.0000 0.4017 0.2500 (multiplicity 4)  2 Mo 2.48
Cl 0.0613 0.2178 0.9758 (multiplicity 8)  1 Mo 2.38
Cl 0.2187 0.4246 0.6230 (multiplicity 8)  1 Mo 2.34

---

NaMo2Cl8: optimized geometry, PBE.

## Properties
- Uncorrected formation energy: -9.80 eV/f.u.
- Total energy: -4.323 eV per atom
- V: 337.93 Å³ per cell
- Energy above the lowest structure with this stoichiometry: 0.000 eV per atom

a = 4.9185 Å, b = 8.4067 Å, c = 9.4251 Å
α = 65.65°, β = 77.40°, γ = 73.35°
Last column: nearest neighbours and their distance in Å.
Space group P-1 (No. 2)
Unique sites:
Na 0.0000 0.0000 0.0000 (multiplicity 1)  6 Cl 2.77-3.01
Mo 0.2285 0.3833 0.1873 (multiplicity 2)  5 Cl 2.26-2.52
Cl 0.0793 0.6559 0.2259 (multiplicity 2)  1 Mo 2.35
Cl 0.2017 0.2134 0.4459 (multiplicity 2)  1 Mo 2.26
Cl 0.2618 0.5838 0.8736 (multiplicity 2)  3 Mo 2.51-2.73
Cl 0.3864 0.1302 0.1105 (multiplicity 2)  1 Mo 2.39

---

Na2MoCl7: optimized geometry, PBE.

## Properties
- Uncorrected formation energy: -11.04 eV/f.u.
- Total energy: -3.744 eV per atom
- V: 1076.42 Å³ per cell

a = 9.7865 Å, b = 10.7096 Å, c = 10.3629 Å
α = 90.00°, β = 97.66°, γ = 90.00°
Last column: nearest neighbours and their distance in Å.
Space group C2/c (No. 15)
Unique sites:
Na 0.2111 0.0706 0.1346 (multiplicity 8)  8 Cl 2.89-3.11
Mo 0.0000 0.2013 0.7500 (multiplicity 4)  7 Cl 2.38-2.51
Cl 0.0000 0.4342 0.7500 (multiplicity 4)  1 Mo 2.49
Cl 0.0777 0.2688 0.9720 (multiplicity 8)  1 Mo 2.43
Cl 0.0947 0.0105 0.8708 (multiplicity 8)  1 Mo 2.51
Cl 0.2252 0.2058 0.6876 (multiplicity 8)  1 Mo 2.38

---

Na5Mo2Cl12: optimized geometry, PBE.

## Properties
- Uncorrected formation energy: -24.10 eV/f.u.
- Total energy: -3.922 eV per atom
- V: 1021.22 Å³ per cell

a = 15.9242 Å, b = 7.3875 Å, c = 9.3204 Å
α = 90.00°, β = 111.35°, γ = 90.00°
Last column: nearest neighbours and their distance in Å.
Space group C2/m (No. 12)
Unique sites:
Na 0.0000 0.0000 0.0000 (multiplicity 2)  6 Cl 2.83-3.11
Na 0.1700 0.5000 0.2844 (multiplicity 4)  2 Cl 2.69
Na 0.2282 0.5000 0.9335 (multiplicity 4)  4 Cl 2.73-2.81
Mo 0.0000 0.2499 0.5000 (multiplicity 4)  6 Cl 2.36-2.49
Cl 0.0257 0.5000 0.6905 (multiplicity 4)  2 Mo 2.49
Cl 0.0282 0.0000 0.6874 (multiplicity 4)  2 Mo 2.47
Cl 0.1443 0.2489 0.0635 (multiplicity 8)  4 Na 2.69-2.83
Cl 0.1544 0.2557 0.5357 (multiplicity 8)  1 Mo 2.36

---

NaMo2Cl8: optimized geometry, PBE.

## Properties
- Uncorrected formation energy: -9.22 eV/f.u.
- Total energy: -4.270 eV per atom
- V: 792.67 Å³ per cell
- Energy above the lowest structure with this stoichiometry: 0.052 eV per atom

a = 13.4594 Å, b = 8.8857 Å, c = 6.7981 Å
α = 90.00°, β = 102.85°, γ = 90.00°
Last column: nearest neighbours and their distance in Å.
Space group C2/m (No. 12)
Unique sites:
Na 0.0000 0.0000 0.0000 (multiplicity 2)  6 Cl 2.86-2.91
Mo 0.1938 0.0000 0.6624 (multiplicity 4)  4 Cl 2.26-2.31
Cl 0.1066 0.1914 0.7792 (multiplicity 8)  1 Mo 2.31
Cl 0.1345 0.5000 0.2292 (multiplicity 4)  1 Mo 2.26
Cl 0.1842 0.0000 0.3200 (multiplicity 4)  1 Mo 2.30